Record 1
Material: MoIrPb3
Method: DFT, PBE-GGA
State: relaxed

```
MoIrPb3
1.0
5.3282 0.0000 0.0000
0.0000 5.3282 0.0000
0.0000 0.0000 5.3282
Mo Ir Pb
1 1 3
Direct
0.0000 0.0000 0.0000
0.5000 0.5000 0.5000
0.0000 0.0000 0.5000
0.0000 0.5000 0.0000
0.5000 0.0000 0.0000
```

## Properties
density of states at the Fermi level = 5.9 states/eV per cell
formation energy from the elements = 1.3289 eV per atom

Record 2
Material: KTmSn2F8
Method: DFT, PBE-GGA
State: relaxed

```
KTmSn2F8
1.0
6.0410 0.0000 0.0000
0.0000 4.1103 0.0000
-0.5835 0.0000 8.2017
K Tm Sn F
1 1 2 8
Direct
0.0000 0.0000 0.0000
0.0000 0.0000 0.5000
0.4735 0.5000 0.7534
0.5265 0.5000 0.2466
0.1929 0.5000 0.5414
0.2072 0.0000 0.3003
0.2718 0.0000 0.7160
0.2738 0.5000 0.9599
0.7262 0.5000 0.0401
0.7282 0.0000 0.2840
0.7928 0.0000 0.6997
0.8071 0.5000 0.4586
```

## Properties
uncorrected formation energy = -2981 meV per atom
density of states at the Fermi level = 0.0 states/eV per cell

VASP energy in eV/atom, matching the order above: -4.835 -5.360